This record from the Alexandria database describes InMoO4 after structural relaxation. The functional is PBE+U. Values from VASP.

Results
* theoretical density: 6.07 g/cm3
* total DFT energy (no corrections): -6.541 eV per atom

```
&SYSTEM
  ibrav = 0, nat = 24, ntyp = 3
/
ATOMIC_SPECIES
In 114.82 In.upf
Mo 95.94 Mo.upf
O 16.00 O.upf
CELL_PARAMETERS angstrom
7.592 0.000 0.000
0.000 5.327 0.000
-1.480 0.000 7.435
ATOMIC_POSITIONS crystal
In 0.161 0.239 0.349
In 0.161 0.261 0.849
In 0.839 0.739 0.151
In 0.839 0.761 0.651
Mo 0.329 0.747 0.675
Mo 0.329 0.753 0.175
Mo 0.671 0.247 0.825
Mo 0.671 0.253 0.325
O 0.102 0.573 0.188
O 0.102 0.927 0.688
O 0.195 0.056 0.094
O 0.195 0.444 0.594
O 0.311 0.607 0.929
O 0.311 0.893 0.429
O 0.442 0.095 0.795
O 0.442 0.405 0.295
O 0.558 0.595 0.705
O 0.558 0.905 0.205
O 0.689 0.107 0.571
O 0.689 0.393 0.071
O 0.805 0.556 0.406
O 0.805 0.944 0.906
O 0.898 0.073 0.312
O 0.898 0.427 0.812
```